(1)
A relaxed structure of AgS2NF. Source: Alexandria via LeMat-Bulk, functional GGA-PBE.

abc: 4.999 4.999 4.100
angles: 90.00 90.00 90.00
Atoms (fractional coordinates):
Ag (0.000, 0.000, 0.000)
S (0.000, 0.500, 0.000)
S (0.500, 0.000, 0.000)
N (0.000, 0.000, 0.500)
F (0.500, 0.500, 0.500)

The calculation puts the offset from the most stable computed form at 0.0 meV per atom. Its total magnetic moment is 5.2 μB per formula unit.

(2)
A relaxed structure of AgSN2F. Source: Alexandria via LeMat-Bulk, functional GGA-PBE.

abc: 3.380 3.380 6.068
angles: 90.00 90.00 90.00
Atoms (fractional coordinates):
Ag (0.000, 0.000, 0.000)
S (0.500, 0.500, 0.500)
N (0.000, 0.500, 0.500)
N (0.500, 0.000, 0.500)
F (0.500, 0.500, 0.000)

The calculation puts the offset from the most stable computed form at 0.0 meV per atom. Its total magnetic moment is 0.0 μB per formula unit.

(3)
A relaxed structure of AgSbN2F. Source: Alexandria via LeMat-Bulk, functional GGA-PBE.

abc: 4.050 4.050 4.252
angles: 90.00 90.00 90.00
Atoms (fractional coordinates):
Ag (0.000, 0.000, 0.000)
Sb (0.500, 0.500, 0.500)
N (0.000, 0.500, 0.500)
N (0.500, 0.000, 0.500)
F (0.500, 0.500, 0.000)

The calculation puts the offset from the most stable computed form at 0.0 meV per atom. Its total magnetic moment is 0.6 μB per formula unit.

(4)
A relaxed structure of AgSbN2F. Source: Alexandria via LeMat-Bulk, functional GGA-PBE.

abc: 4.158 4.158 4.123
angles: 90.00 90.00 90.00
Atoms (fractional coordinates):
Ag (0.000, 0.000, 0.000)
Sb (0.500, 0.500, 0.500)
N (0.000, 0.500, 0.000)
N (0.500, 0.000, 0.000)
F (0.000, 0.000, 0.500)

The calculation puts the offset from the most stable computed form at 572.7 meV per atom. Its total magnetic moment is 0.8 μB per formula unit.

(5)
A relaxed structure of ScAgNF2. Source: Alexandria via LeMat-Bulk, functional GGA-PBE.

abc: 4.027 4.027 4.419
angles: 90.00 90.00 90.00
Atoms (fractional coordinates):
Sc (0.000, 0.000, 0.000)
Ag (0.500, 0.500, 0.500)
N (0.000, 0.000, 0.500)
F (0.000, 0.500, 0.000)
F (0.500, 0.000, 0.000)

The calculation puts the offset from the most stable computed form at 0.0 meV per atom. Its total magnetic moment is 0.8 μB per formula unit.

(6)
A relaxed structure of ScAgNF2. Source: Alexandria via LeMat-Bulk, functional GGA-PBE.

abc: 3.842 3.842 6.755
angles: 90.00 90.00 90.00
Atoms (fractional coordinates):
Sc (0.000, 0.000, 0.000)
Ag (0.000, 0.000, 0.500)
N (0.500, 0.500, 0.000)
F (0.000, 0.500, 0.500)
F (0.500, 0.000, 0.500)

The calculation puts the offset from the most stable computed form at 1389.5 meV per atom. Its total magnetic moment is 0.0 μB per formula unit.